Entry 1:
NaNdHgTe3 PBE-GGA optimized geometry; relative energy among the computed polymorphs = 0.012 eV per atom
1.0
14.887 0.000 0.000
0.000 4.496 0.000
0.000 0.000 12.208
Na Nd Hg Te
4 4 4 12
Cartesian
3.448 1.124 0.914
3.995 3.372 7.018
10.891 1.124 5.190
11.439 3.372 11.294
0.238 1.124 4.165
7.205 3.372 10.269
7.681 1.124 1.939
14.648 3.372 8.043
0.137 3.372 1.276
7.306 1.124 7.380
7.580 3.372 4.828
14.749 1.124 10.932
1.684 3.372 10.785
1.691 1.124 6.948
2.272 3.372 3.115
5.171 1.124 9.219
5.752 3.372 0.844
5.759 1.124 4.681
9.128 3.372 7.527
9.134 1.124 11.364
9.715 3.372 2.989
12.614 1.124 9.093
13.195 3.372 5.260
13.202 1.124 1.423

***

Entry 2:
BeFeSiNi PBE-GGA optimized geometry; relative energy among the computed polymorphs = 0.000 eV per atom
1.0
5.378 0.000 0.000
0.000 5.378 0.000
0.000 0.000 5.378
Be Fe Si Ni
4 4 4 4
Cartesian
0.000 0.000 0.000
0.000 2.689 2.689
2.689 0.000 2.689
2.689 2.689 0.000
1.345 1.345 4.034
1.345 4.034 1.345
4.034 1.345 1.345
4.034 4.034 4.034
0.000 0.000 2.689
0.000 2.689 0.000
2.689 0.000 0.000
2.689 2.689 2.689
1.345 1.345 1.345
1.345 4.034 4.034
4.034 1.345 4.034
4.034 4.034 1.345

***

Entry 3:
Density functional theory data (PBE-GGA) for Co9Se8 after structural relaxation.

```
Co9Se8
1.0
0.000 5.153 5.153
5.153 0.000 5.153
5.153 5.153 0.000
Co Se
9 8
Cartesian
0.000 0.000 0.000
6.425 3.882 3.882
3.882 3.882 3.882
6.425 6.425 3.882
6.425 3.882 6.425
3.882 6.425 3.882
3.882 3.882 6.425
6.425 6.425 6.425
3.882 6.425 6.425
5.153 5.153 2.433
5.153 2.433 5.153
7.874 5.153 5.153
2.577 2.577 2.577
7.730 7.730 7.730
2.433 5.153 5.153
5.153 7.874 5.153
5.153 5.153 7.874
```

***

Entry 4:
Density functional theory data (PBE-GGA) for Lu2ScAs after structural relaxation.

```
Lu2ScAs
1.0
7.099 0.000 0.000
0.000 7.099 0.000
0.000 0.000 7.099
Lu Sc As
8 4 4
Cartesian
0.000 0.000 0.000
0.000 3.549 3.549
1.775 1.775 1.775
1.775 5.324 5.324
3.549 0.000 3.549
3.549 3.549 0.000
5.324 1.775 5.324
5.324 5.324 1.775
1.775 1.775 5.324
1.775 5.324 1.775
5.324 1.775 1.775
5.324 5.324 5.324
0.000 0.000 3.549
0.000 3.549 0.000
3.549 0.000 0.000
3.549 3.549 3.549
```

***

| no. | total DFT energy (no corrections) (eV per atom) |
| --- | --- |
| 1 | -3.507 |
| 2 | -6.242 |
| 3 | -5.679 |
| 4 | -5.124 |